# KBiPd4

A geometry-optimized KBiPd4 structure (GGA-PBE, the Alexandria database).

a b c (Å): 7.796 7.796 7.796
angles (deg): 90.00 90.00 90.00
Space group F-43m (No. 216)
Inequivalent atoms, fractional coordinates:
K: 0.000 0.000 0.000 (multiplicity 4)
Bi: 0.250 0.250 0.750 (multiplicity 4)
Pd: 0.124 0.124 0.376 (multiplicity 16)

As for the crystal system: cubic. For the density, the calculation gives 9.446 Mg/m³. The energy above the lowest structure with this stoichiometry is 0.000 eV/atom. Its size of the total moment is 0.000 μB per cell. The energy relative to the elements comes out at -0.073 eV/atom. As for the raw total energy: -4.364 eV per atom.